Entry 1:
Here is BaRe2Au at its PBEsol-relaxed geometry from Alexandria via LeMat-Bulk. Energies are from SCAN.

polymorph energy (0 for the lowest one)	0.594	eV per atom

Cell: 6.0680 6.0680 2.8837 Å, 102.67 102.67 123.79°
Element x y z (fractional)
1 Ba 0.0000 0.0000 0.0000
2 Re 0.0000 0.5000 0.5000
3 Re 0.5000 0.0000 0.5000
4 Au 0.5000 0.5000 0.0000

Entry 2:
Here is TaTi2AsOs at its PBEsol-relaxed geometry from Alexandria via LeMat-Bulk. Energies are from SCAN.

raw total energy	-36.641	eV per atom

Cell: 4.5943 4.5943 4.6858 Å, 90.00 90.00 90.00°
Element x y z (fractional)
1 Ta 0.0000 0.0000 0.0000
2 Ti 0.0000 0.5000 0.0000
3 Ti 0.5000 0.0000 0.0000
4 As 0.0000 0.0000 0.5000
5 Os 0.5000 0.5000 0.5000

Entry 3:
Here is MgInW2C at its PBEsol-relaxed geometry from Alexandria via LeMat-Bulk. Energies are from SCAN.

raw total energy	-34.807	eV per atom

Cell: 4.7951 4.7951 3.7328 Å, 90.00 90.00 90.00°
Element x y z (fractional)
1 Mg 0.0000 0.0000 0.0000
2 In 0.5000 0.5000 0.5000
3 W 0.0000 0.5000 0.0000
4 W 0.5000 0.0000 0.0000
5 C 0.0000 0.0000 0.5000